1.
Mo2OsRu | the Alexandria database | meta-GGA SCAN | PBEsol geometry; formation energy = 0.298 eV per atom
1.0
0.000 3.079 3.079
3.079 0.000 3.079
3.079 3.079 0.000
Mo Os Ru
2 1 1
Direct
0.000 0.000 0.000
0.250 0.250 0.250
0.500 0.500 0.500
0.750 0.750 0.750

***

2.
MoOsRu2 | the Alexandria database | meta-GGA SCAN | PBEsol geometry; formation energy = 0.110 eV per atom
1.0
2.703 0.000 0.000
0.000 2.703 0.000
0.000 0.000 7.669
Mo Os Ru
1 1 2
Direct
0.000 0.000 0.000
0.500 0.500 0.266
0.000 0.000 0.504
0.500 0.500 0.752

***

3.
Mo2OsRu | the Alexandria database | meta-GGA SCAN | PBEsol geometry; formation energy = 0.061 eV per atom
1.0
3.884 0.000 0.000
0.000 3.884 0.000
0.000 0.000 3.832
Mo Os Ru
2 1 1
Direct
0.000 0.500 0.000
0.500 0.000 0.000
0.000 0.000 0.500
0.500 0.500 0.500

***

4.
MoOsRu2 | the Alexandria database | meta-GGA SCAN | PBEsol geometry; formation energy = 0.040 eV per atom
1.0
-1.906 1.906 3.843
1.906 -1.906 3.843
1.906 1.906 -3.843
Mo Os Ru
1 1 2
Direct
0.000 0.000 0.000
0.500 0.500 0.000
0.250 0.750 0.500
0.750 0.250 0.500

***

5.
MoOs3S | the Alexandria database | meta-GGA SCAN | PBEsol geometry; DFT total energy = -246.6 eV for the cell shown
1.0
4.632 0.000 0.000
0.000 4.632 0.000
0.000 0.000 4.632
Mo Os S
1 3 1
Direct
0.000 0.000 0.000
0.000 0.000 0.500
0.000 0.500 0.000
0.500 0.000 0.000
0.500 0.500 0.500

***

6.
MoOsS2 | the Alexandria database | meta-GGA SCAN | PBEsol geometry; DFT total energy = -124.3 eV for the cell shown
1.0
1.500 0.866 7.868
-1.500 0.866 7.868
0.000 -1.732 7.868
Mo Os S
1 1 2
Direct
0.000 0.000 0.000
0.500 0.500 0.500
0.097 0.097 0.097
0.903 0.903 0.903

***

7.
TcMoOs2S | the Alexandria database | meta-GGA SCAN | PBEsol geometry; DFT total energy = -211.0 eV for the cell shown
1.0
4.651 0.000 0.000
0.000 4.651 0.000
0.000 0.000 4.564
Tc Mo Os S
1 1 2 1
Direct
0.000 0.000 0.000
0.000 0.000 0.500
0.000 0.500 0.500
0.500 0.000 0.500
0.500 0.500 0.000

***

8.
Sb2MoOs | the Alexandria database | meta-GGA SCAN | PBEsol geometry; DFT total energy = -178.1 eV for the cell shown
1.0
3.065 0.000 0.000
0.000 4.254 0.000
-0.199 0.000 5.640
Sb Mo Os
2 1 1
Direct
0.176 0.000 0.246
0.824 0.000 0.754
0.500 0.500 0.000
0.000 0.500 0.500

***

9.
SbMo3Os | the Alexandria database | meta-GGA SCAN | PBEsol geometry; DFT total energy = -200.2 eV for the cell shown
1.0
4.703 0.000 0.000
0.000 4.703 0.000
0.000 0.000 4.703
Sb Mo Os
1 3 1
Direct
0.000 0.000 0.000
0.000 0.000 0.500
0.000 0.500 0.000
0.500 0.000 0.000
0.500 0.500 0.500

***

10.
Sb2MoOs | the Alexandria database | meta-GGA SCAN | PBEsol geometry; DFT total energy = -179.2 eV for the cell shown
1.0
4.262 -1.553 0.000
4.262 1.553 0.000
-1.169 0.000 5.379
Sb Mo Os
2 1 1
Direct
0.248 0.248 0.249
0.752 0.752 0.751
0.000 0.000 0.500
0.500 0.500 0.000

***

11.
ScMoOs | the Alexandria database | meta-GGA SCAN | PBEsol geometry; formation energy = 0.340 eV per atom
1.0
0.000 3.014 3.014
3.014 0.000 3.014
3.014 3.014 0.000
Sc Mo Os
1 1 1
Direct
0.000 0.000 0.000
0.750 0.750 0.750
0.500 0.500 0.500

***

12.
ScMoOs | the Alexandria database | meta-GGA SCAN | PBEsol geometry; formation energy = -0.214 eV per atom
1.0
-1.548 1.548 5.018
1.548 -1.548 5.018
1.548 1.548 -5.018
Sc Mo Os
1 1 1
Direct
0.000 0.000 0.000
0.681 0.681 0.000
0.327 0.327 0.000

***

Total magnetic moment for every record listed, in sequence, given in Bohr magnetons per cell: 1.6 0.0 0.0 0.0 2.1 0.0 3.7 0.0 0.0 0.0 0.0 0.0.
Density of states at the Fermi level for every record listed, in sequence, given in states/eV/atom: 1.0306 0.8154 0.9580 0.8209 1.3026 0.9681 1.2633 0.7289 1.1220 0.9091 0.7713 0.4123.